First-principles (PBE-GGA) data for a relaxed RbErSe2O8 crystal, as listed in the Alexandria database.

Cell and atoms, written as CIF:
```
data_RbErSe2O8
_space_group_name_H-M_alt 'P 1'
_space_group_IT_number 1
_cell_length_a 5.4908
_cell_length_b 5.4908
_cell_length_c 8.6913
_cell_angle_alpha 90.00
_cell_angle_beta 90.00
_cell_angle_gamma 120.00
loop_
_space_group_symop_operation_xyz
'x,y,z'
loop_
_atom_site_label
_atom_site_type_symbol
_atom_site_fract_x
_atom_site_fract_y
_atom_site_fract_z
O1 O 0.3532 0.2686 0.3420
O2 O 0.3333 0.6667 0.9140
O3 O 0.7314 0.0845 0.3420
O4 O 0.0845 0.3532 0.6580
O5 O 0.2686 0.9155 0.6580
O6 O 0.6468 0.7314 0.6580
O7 O 0.6667 0.3333 0.0860
O8 O 0.9155 0.6468 0.3420
Rb1 Rb 0.0000 0.0000 0.0000
Se1 Se 0.6667 0.3333 0.2751
Se2 Se 0.3333 0.6667 0.7249
Er1 Er 0.0000 0.0000 0.5000
```

---

First-principles (PBE-GGA) data for a relaxed Rb2ErSe2O6 crystal, as listed in the Alexandria database.

Cell and atoms, written as CIF:
```
data_Rb2ErSe2O6
_space_group_name_H-M_alt 'P 1'
_space_group_IT_number 1
_cell_length_a 6.2497
_cell_length_b 5.7495
_cell_length_c 7.3423
_cell_angle_alpha 107.81
_cell_angle_beta 90.00
_cell_angle_gamma 122.92
loop_
_space_group_symop_operation_xyz
'x,y,z'
loop_
_atom_site_label
_atom_site_type_symbol
_atom_site_fract_x
_atom_site_fract_y
_atom_site_fract_z
O1 O 0.7368 0.9777 0.2690
O2 O 0.2510 0.5021 0.4333
O3 O 0.7592 0.0223 0.7310
O4 O 0.7490 0.4979 0.5667
O5 O 0.2632 0.0223 0.7310
O6 O 0.2408 0.9777 0.2690
Rb1 Rb 0.7041 0.4082 0.1474
Rb2 Rb 0.2959 0.5918 0.8526
Se1 Se 0.0790 0.1580 0.2435
Se2 Se 0.9210 0.8420 0.7565
Er1 Er 0.5000 0.0000 0.5000
```

---

Energy relative to the elements, uncorrected for every record listed, in sequence, given in meV per atom: -1561.4; -1574.2.
Calculated volume for every record listed, in sequence, given in A^3/atom: 18.911; 18.749.
DFT total energy for every record listed, in sequence, given in eV per atom: -5.908; -5.503.